Record 1
Here is a PBEsol-optimized structure of Sr2YOs from Alexandria. Energies are from meta-GGA SCAN.

Computed properties:
VASP energy = -141.19 eV/cell
E_form = 0.7706 eV per atom

Cell lengths 3.9659, 3.9659, 7.0546 Å; angles 90.00, 90.00, 90.00 degrees
Last column: nearest neighbours and their distance in Å.
Atoms (fractional coordinates):
Sr 0.0000 0.0000 0.2907  1 Sr 2.95, 4 Os 3.17
Sr 0.0000 0.0000 0.7093  1 Sr 2.95, 4 Os 3.17
Y 0.5000 0.5000 0.0000  8 Sr 3.47, 2 Os 3.53
Os 0.5000 0.5000 0.5000  8 Sr 3.17, 2 Y 3.53

Record 2
Here is a PBEsol-optimized structure of SrYOs3 from Alexandria. Energies are from meta-GGA SCAN.

Computed properties:
VASP energy = -252.11 eV/cell
E_form = 2.7302 eV per atom

Cell lengths 4.7727, 4.7727, 4.7727 Å; angles 90.00, 90.00, 90.00 degrees
Last column: nearest neighbours and their distance in Å.
Atoms (fractional coordinates):
Sr 0.0000 0.0000 0.0000  6 Os 2.39
Os 0.0000 0.5000 0.0000  2 Sr 2.39
Os 0.5000 0.0000 0.0000  2 Sr 2.39
Os 0.0000 0.0000 0.5000  2 Sr 2.39
Y 0.5000 0.5000 0.5000  12 Os 3.37

Record 3
Here is a PBEsol-optimized structure of Sr4YOs from Alexandria. Energies are from meta-GGA SCAN.

Computed properties:
VASP energy = -180.84 eV/cell
E_form = 1.3314 eV per atom

Cell lengths 6.4935, 6.4935, 6.4935 Å; angles 60.00, 60.00, 60.00 degrees
Last column: nearest neighbours and their distance in Å.
Atoms (fractional coordinates):
Sr 0.8814 0.3729 0.3729  6 Sr 3.19-3.30
Sr 0.3729 0.3729 0.8814  6 Sr 3.19-3.30
Sr 0.3729 0.8814 0.3729  6 Sr 3.19-3.30
Sr 0.3729 0.3729 0.3729  6 Sr 3.19-3.30
Os 0.0000 0.0000 0.0000  12 Sr 3.80, 4 Y 3.98
Y 0.7500 0.7500 0.7500  12 Sr 3.81, 4 Os 3.98

Record 4
Here is a PBEsol-optimized structure of SrZn2Os from Alexandria. Energies are from meta-GGA SCAN.

Computed properties:
VASP energy = -120.04 eV/cell
E_form = 0.2862 eV per atom

Cell lengths 3.3551, 3.3551, 7.0153 Å; angles 90.00, 90.00, 90.00 degrees
Last column: nearest neighbours and their distance in Å.
Atoms (fractional coordinates):
Zn 0.0000 0.0000 0.0663  1 Os 2.47
Zn 0.5000 0.5000 0.2905  4 Os 2.54
Sr 0.5000 0.5000 0.7244  5 Zn 3.04-3.37, 4 Os 3.20, 4 Sr 3.36
Os 0.0000 0.0000 0.4188  5 Zn 2.47-2.54

Record 5
Here is a PBEsol-optimized structure of SrZn2Os from Alexandria. Energies are from meta-GGA SCAN.

Computed properties:
VASP energy = -119.61 eV/cell
E_form = 0.3936 eV per atom

Cell lengths 4.6621, 4.6621, 4.6621 Å; angles 60.00, 60.00, 60.00 degrees
Last column: nearest neighbours and their distance in Å.
Atoms (fractional coordinates):
Sr 0.5000 0.5000 0.5000  8 Zn 2.85
Zn 0.2500 0.2500 0.2500  4 Os 2.85, 4 Sr 2.85
Zn 0.7500 0.7500 0.7500  4 Sr 2.85, 4 Os 2.85
Os 0.0000 0.0000 0.0000  8 Zn 2.85

Record 6
Here is a PBEsol-optimized structure of Sr2ZrOs from Alexandria. Energies are from meta-GGA SCAN.

Computed properties:
VASP energy = -143.49 eV/cell
energy above the lowest structure with this stoichiometry = 0.243 eV per atom
E_form = 0.9098 eV per atom

Cell lengths 3.1299, 5.1866, 5.8942 Å; angles 90.00, 90.00, 90.00 degrees
Last column: nearest neighbours and their distance in Å.
Atoms (fractional coordinates):
Zr 0.5000 0.5000 0.0000  2 Os 2.95, 2 Zr 3.13
Os 0.5000 0.5000 0.5000  2 Zr 2.95, 2 Os 3.13
Sr 0.0000 0.0000 0.7367  2 Sr 2.79-3.10
Sr 0.0000 0.0000 0.2633  2 Sr 2.79-3.10

Record 7
Here is a PBEsol-optimized structure of Sr2ZrOs from Alexandria. Energies are from meta-GGA SCAN.

Computed properties:
VASP energy = -144.37 eV/cell
energy above the lowest structure with this stoichiometry = 0.024 eV per atom
E_form = 0.6905 eV per atom

Cell lengths 4.1468, 4.1468, 6.1610 Å; angles 109.67, 109.67, 90.00 degrees
Last column: nearest neighbours and their distance in Å.
Atoms (fractional coordinates):
Os 0.0000 0.0000 0.0000  4 Zr 2.93
Sr 0.2500 0.7500 0.5000  4 Sr 2.93
Sr 0.7500 0.2500 0.5000  4 Sr 2.93
Zr 0.5000 0.5000 0.0000  4 Os 2.93

Record 8
Here is a PBEsol-optimized structure of Sr2ZrOs from Alexandria. Energies are from meta-GGA SCAN.

Computed properties:
VASP energy = -144.46 eV/cell
energy above the lowest structure with this stoichiometry = 0.000 eV per atom
E_form = 0.6665 eV per atom

Cell lengths 5.1157, 5.1157, 5.1157 Å; angles 60.00, 60.00, 60.00 degrees
Last column: nearest neighbours and their distance in Å.
Atoms (fractional coordinates):
Sr 0.0000 0.0000 0.0000  4 Os 3.13, 4 Sr 3.13
Sr 0.7500 0.7500 0.7500  4 Sr 3.13, 4 Zr 3.13
Os 0.2500 0.2500 0.2500  4 Sr 3.13, 4 Zr 3.13
Zr 0.5000 0.5000 0.5000  4 Os 3.13, 4 Sr 3.13